Entry from the Alexandria database: an optimized crystal structure of Li2Ge3I8 (GGA-PBE).

Computed properties:
The mass density comes out at 4.48 Mg/m³. Its formation energy from raw total energies is -0.573 eV per atom.

a = 7.5492 Å, b = 8.6272 Å, c = 8.6962 Å
α = 119.74°, β = 72.68°, γ = 90.00°
Atoms (fractional coordinates):
Li1 0.9606 0.7547 0.5094
Li2 0.0394 0.2453 0.4906
Ge1 0.5000 0.0000 0.0000
Ge2 0.0000 0.2560 0.0000
Ge3 0.0000 0.7440 0.0000
I1 0.2350 0.3768 0.7536
I2 0.7650 0.6232 0.2464
I3 0.2568 0.8763 0.7525
I4 0.7432 0.1237 0.2475
I5 0.2418 0.8796 0.2481
I6 0.2418 0.3685 0.2481
I7 0.7582 0.6315 0.7519
I8 0.7582 0.1204 0.7519


Entry from the Alexandria database: an optimized crystal structure of LiGeI (GGA-PBE).

Computed properties:
The mass density comes out at 3.57 Mg/m³. Its formation energy from raw total energies is -0.482 eV per atom.

a = 3.8769 Å, b = 3.8769 Å, c = 13.0473 Å
α = 98.14°, β = 98.14°, γ = 89.78°
Atoms (fractional coordinates):
Ge1 0.2428 0.2428 0.5002
Ge2 0.7572 0.7572 0.4998
I1 0.6849 0.6849 0.8634
I2 0.3151 0.3151 0.1366
Li1 0.2088 0.2088 0.9144
Li2 0.7912 0.7912 0.0856


Entry from the Alexandria database: an optimized crystal structure of LiGeI2N (GGA-PBE).

Computed properties:
The mass density comes out at 4.77 Mg/m³. Its formation energy from raw total energies is 0.633 eV per atom. As for the polymorph energy (0 for the lowest one): 473 meV/atom.

a = 5.5317 Å, b = 5.5317 Å, c = 3.9563 Å
α = 90.00°, β = 90.00°, γ = 90.00°
Site moments in Bohr magnetons follow the coordinates.
Atoms (fractional coordinates):
I1 0.0000 0.5000 0.0000  0.09
I2 0.5000 0.0000 0.0000  0.09
Ge1 0.5000 0.5000 0.5000  -0.02
Li1 0.0000 0.0000 0.0000  0.00
N1 0.0000 0.0000 0.5000  1.39


Entry from the Alexandria database: an optimized crystal structure of LiGeI2N (GGA-PBE).

Computed properties:
The mass density comes out at 4.54 Mg/m³. Its formation energy from raw total energies is 0.160 eV per atom. As for the polymorph energy (0 for the lowest one): 0 meV/atom.

a = 5.9208 Å, b = 5.9208 Å, c = 3.6262 Å
α = 90.00°, β = 90.00°, γ = 90.00°
Atoms (fractional coordinates):
I1 0.0000 0.5000 0.0000
I2 0.5000 0.0000 0.0000
Ge1 0.0000 0.0000 0.0000
Li1 0.5000 0.5000 0.5000
N1 0.0000 0.0000 0.5000


Entry from the Alexandria database: an optimized crystal structure of LiGeIN2 (GGA-PBE).

Computed properties:
The mass density comes out at 4.13 Mg/m³. Its formation energy from raw total energies is 1.588 eV per atom. As for the polymorph energy (0 for the lowest one): 907 meV/atom.

a = 4.2420 Å, b = 4.2420 Å, c = 5.2378 Å
α = 90.00°, β = 90.00°, γ = 90.00°
Site moments in Bohr magnetons follow the coordinates.
Atoms (fractional coordinates):
I1 0.0000 0.0000 0.5000  0.16
Ge1 0.5000 0.5000 0.5000  -0.16
Li1 0.0000 0.0000 0.0000  0.01
N1 0.0000 0.5000 0.0000  1.40
N2 0.5000 0.0000 0.0000  1.40


Entry from the Alexandria database: an optimized crystal structure of LiGeIN2 (GGA-PBE).

Computed properties:
The mass density comes out at 3.88 Mg/m³. Its formation energy from raw total energies is 0.681 eV per atom. As for the polymorph energy (0 for the lowest one): 0 meV/atom.

a = 3.7457 Å, b = 3.7457 Å, c = 7.1457 Å
α = 90.00°, β = 90.00°, γ = 90.00°
Atoms (fractional coordinates):
I1 0.0000 0.0000 0.5000
Ge1 0.0000 0.0000 0.0000
Li1 0.5000 0.5000 0.5000
N1 0.0000 0.5000 0.0000
N2 0.5000 0.0000 0.0000